(1)
The following is a DFT calculation (PBE) of a relaxed structure of BeFeOs2.

Results
- Formation energy: 0.07 eV/atom
- Density of states at the Fermi level: 2.61 states/eV/cell
- Crystal system: tetragonal
- Energy: -8.5886 eV/atom

abc: 4.103 4.103 2.883
angles: 90.00 90.00 90.00
Sites, in units of the cell vectors:
Be (0.000, 0.000, 0.000)
Fe (0.500, 0.500, 0.000)
Os (0.000, 0.500, 0.500)
Os (0.500, 0.000, 0.500)

---

(2)
The following is a DFT calculation (PBE) of a relaxed structure of Be2FeOs.

Results
- Formation energy: -0.05 eV/atom
- Density of states at the Fermi level: 4.05 states/eV/cell
- Crystal system: orthorhombic
- Energy: -6.8353 eV/atom
- Polymorph energy (0 for the lowest one): 114 meV per atom

abc: 3.092 3.985 6.935
angles: 90.00 90.00 90.00
Sites, in units of the cell vectors:
Be (0.000, 0.000, 0.244)
Be (0.000, 0.000, 0.756)
Be (0.500, 0.500, 0.256)
Be (0.500, 0.500, 0.744)
Fe (0.000, 0.500, 0.500)
Fe (0.500, 0.000, 0.000)
Os (0.000, 0.500, 0.000)
Os (0.500, 0.000, 0.500)

---

(3)
The following is a DFT calculation (PBE) of a relaxed structure of BeFeOs2.

Results
- Formation energy: 0.26 eV/atom
- Density of states at the Fermi level: 4.11 states/eV/cell
- Crystal system: orthorhombic
- Energy: -8.4048 eV/atom

abc: 2.859 4.052 4.386
angles: 90.00 90.00 90.00
Sites, in units of the cell vectors:
Be (0.000, 0.000, 0.000)
Fe (0.500, 0.000, 0.500)
Os (0.000, 0.500, 0.500)
Os (0.500, 0.500, 0.000)

---

(4)
The following is a DFT calculation (PBE) of a relaxed structure of BeFeOs2.

Results
- Formation energy: 0.14 eV/atom
- Density of states at the Fermi level: 8.05 states/eV/cell
- Crystal system: orthorhombic
- Energy: -8.5187 eV/atom

abc: 2.793 4.280 8.283
angles: 90.00 90.00 90.00
Sites, in units of the cell vectors:
Be (0.000, 0.000, 0.000)
Be (0.500, 0.500, 0.500)
Fe (0.000, 0.000, 0.500)
Fe (0.500, 0.500, 0.000)
Os (0.000, 0.500, 0.285)
Os (0.000, 0.500, 0.715)
Os (0.500, 0.000, 0.215)
Os (0.500, 0.000, 0.785)